Record 1
Material: Dy7Y12Mg
Method: DFT, PBE
State: relaxed

a = 10.3931 Å, b = 10.3931 Å, c = 10.3931 Å
α = 109.47°, β = 109.47°, γ = 109.47°
With the nearest neighbours (Å) after each atom.
Fractional coordinates of all 20 atoms:
Dy: 0.0000 0.0000 0.5000  6 Y 3.25
Dy: 0.0000 0.5000 0.0000  6 Y 3.25
Dy: 0.0000 0.5000 0.5000  8 Y 3.37-3.58
Dy: 0.5000 0.0000 0.0000  6 Y 3.25
Dy: 0.5000 0.0000 0.5000  8 Y 3.37-3.58
Dy: 0.5000 0.5000 0.0000  8 Y 3.37-3.58
Dy: 0.5000 0.5000 0.5000  6 Y 3.25
Y: 0.0944 0.7400 0.3544  4 Dy 3.25-3.58, 5 Y 3.50-3.64
Y: 0.2600 0.3544 0.6144  4 Dy 3.25-3.58, 5 Y 3.50-3.64
Y: 0.2600 0.6456 0.9056  4 Dy 3.25-3.58, 5 Y 3.50-3.64
Y: 0.3544 0.0944 0.7400  4 Dy 3.25-3.58, 5 Y 3.50-3.64
Y: 0.3544 0.6144 0.2600  4 Dy 3.25-3.58, 5 Y 3.50-3.64
Y: 0.3856 0.7400 0.6456  4 Dy 3.25-3.58, 5 Y 3.50-3.64
Y: 0.6144 0.2600 0.3544  4 Dy 3.25-3.58, 5 Y 3.50-3.64
Y: 0.6456 0.3856 0.7400  4 Dy 3.25-3.58, 5 Y 3.50-3.64
Y: 0.6456 0.9056 0.2600  4 Dy 3.25-3.58, 5 Y 3.50-3.64
Y: 0.7400 0.3544 0.0944  4 Dy 3.25-3.58, 5 Y 3.50-3.64
Y: 0.7400 0.6456 0.3856  4 Dy 3.25-3.58, 5 Y 3.50-3.64
Y: 0.9056 0.2600 0.6456  4 Dy 3.25-3.58, 5 Y 3.50-3.64
Mg: 0.0000 0.0000 0.0000  8 Dy 5.20, 12 Y 5.27

***

Record 2
Material: CaErTlAg
Method: DFT, PBE
State: relaxed

a = 5.2721 Å, b = 5.2721 Å, c = 5.2721 Å
α = 60.00°, β = 60.00°, γ = 60.00°
With the nearest neighbours (Å) after each atom.
Fractional coordinates of all 4 atoms:
Ca: 0.0000 0.0000 0.0000  4 Tl 3.23, 4 Ag 3.23
Er: 0.5000 0.5000 0.5000  4 Tl 3.23, 4 Ag 3.23
Tl: 0.2500 0.2500 0.2500  4 Ca 3.23, 4 Er 3.23
Ag: 0.7500 0.7500 0.7500  4 Er 3.23, 4 Ca 3.23

***

Record 3
Material: BaSc2P
Method: DFT, PBE
State: relaxed

a = 7.8440 Å, b = 7.8440 Å, c = 7.8440 Å
α = 119.71°, β = 119.71°, γ = 90.51°
With the nearest neighbours (Å) after each atom.
Fractional coordinates of all 8 atoms:
Ba: 0.0000 0.0000 0.0000  12 Sc 4.58-4.65, 4 Ba 4.81, 4 P 4.81
Ba: 0.7500 0.2500 0.5000  12 Sc 4.58-4.65, 4 Ba 4.81, 4 P 4.81
Sc: 0.3697 0.6250 0.2447  2 P 2.41
Sc: 0.3750 0.6197 0.7447  2 P 2.41
Sc: 0.3803 0.1250 0.7553  2 P 2.41
Sc: 0.8750 0.6303 0.2553  2 P 2.41
P: 0.2500 0.7500 0.5000  4 Sc 2.41
P: 0.5000 0.5000 0.0000  4 Sc 2.41

***

Number 1: Fermi-level density of states 37.635 states/eV per cell, ΔE_f 0.8399 eV per atom. Number 2: Fermi-level density of states 3.458 states/eV per cell, ΔE_f -0.3417 eV per atom. Number 3: Fermi-level density of states 21.603 states/eV per cell, ΔE_f -0.0086 eV per atom.